Below is a relaxed AgAs3W crystal, with properties calculated at the PBE level.

The structure belongs to space group Pm-3m (No. 221); the cell edges are 4.909, 4.909 and 4.909 Å and the angles 90.00°, 90.00° and 90.00°. The asymmetric unit holds Ag at (0.000, 0.000, 0.000), As at (0.000, 0.500, 0.500) and W at (0.500, 0.500, 0.500).

As for the electronic total energy: -5.351 eV/atom. The energy above the lowest structure with this stoichiometry comes out at 0.00 eV per formula unit.

Below is a relaxed AgAs2W crystal, with properties calculated at the PBE level.

The structure belongs to space group R3m (No. 160, hexagonal axes); the cell edges are 2.9409, 2.9409 and 31.6436 Å and the angles 90.00°, 90.00° and 120.00°. The asymmetric unit holds Ag at (0.0000, 0.0000, 0.0000), As at (0.0000, 0.0000, 0.5264), As at (0.0000, 0.0000, 0.7391) and W at (0.0000, 0.0000, 0.2574).

As for the electronic total energy: -5.870 eV/atom. The energy above the lowest structure with this stoichiometry comes out at 1.10 eV per formula unit.

Below is a relaxed AgAs2W crystal, with properties calculated at the PBE level.

The structure belongs to space group I4/mmm (No. 139); the cell edges are 4.348, 4.348 and 7.170 Å and the angles 90.00°, 90.00° and 90.00°. The asymmetric unit holds Ag at (0.000, 0.000, 0.000), As at (0.000, 0.500, 0.250) and W at (0.000, 0.000, 0.500).

As for the electronic total energy: -5.726 eV/atom. The energy above the lowest structure with this stoichiometry comes out at 1.67 eV per formula unit.

Below is a relaxed AgAs2W crystal, with properties calculated at the PBE level.

The structure belongs to space group C2/m (No. 12); the cell edges are 6.202, 8.669 and 2.732 Å and the angles 90.00°, 91.89° and 90.00°. The asymmetric unit holds Ag at (0.000, 0.000, 0.000), As at (0.250, 0.250, 0.000) and W at (0.000, 0.500, 0.000).

As for the electronic total energy: -5.713 eV/atom. The energy above the lowest structure with this stoichiometry comes out at 1.72 eV per formula unit.

Below is a relaxed AgAs2W crystal, with properties calculated at the PBE level.

The structure belongs to space group Imm2 (No. 44); the cell edges are 3.178, 3.592 and 13.310 Å and the angles 90.00°, 90.00° and 90.00°. The asymmetric unit holds Ag at (0.000, 0.000, 0.000), As at (0.000, 0.000, 0.619), As at (0.000, 0.500, 0.841) and W at (0.000, 0.500, 0.267).

As for the electronic total energy: -6.014 eV/atom. The energy above the lowest structure with this stoichiometry comes out at 0.52 eV per formula unit.

Below is a relaxed YAg2As crystal, with properties calculated at the PBE level.

The structure belongs to space group I-42d (No. 122); the cell edges are 4.035, 4.035 and 21.962 Å and the angles 90.00°, 90.00° and 90.00°. The asymmetric unit holds Y at (0.000, 0.000, 0.000), Ag at (0.243, 0.250, 0.625) and As at (0.000, 0.000, 0.500).

As for the electronic total energy: -4.615 eV/atom.

Below is a relaxed YAgAs crystal, with properties calculated at the PBE level.

The structure belongs to space group F-43m (No. 216); the cell edges are 6.572, 6.572 and 6.572 Å and the angles 90.00°, 90.00° and 90.00°. The asymmetric unit holds Y at (0.000, 0.000, 0.000), Ag at (0.000, 0.000, 0.500) and As at (0.250, 0.250, 0.250).

As for the electronic total energy: -5.235 eV/atom.

Below is a relaxed Y3AgAs crystal, with properties calculated at the PBE level.

The structure belongs to space group Pm-3m (No. 221); the cell edges are 5.385, 5.385 and 5.385 Å and the angles 90.00°, 90.00° and 90.00°. The asymmetric unit holds Y at (0.000, 0.000, 0.500), Ag at (0.500, 0.500, 0.500) and As at (0.000, 0.000, 0.000).

As for the electronic total energy: -5.645 eV/atom. The energy above the lowest structure with this stoichiometry comes out at 0.00 eV per formula unit.